1.
DFT (PBE) results for RuPt4Rh3 after structural relaxation.

Calculated values
relative energy among the computed polymorphs = 0.1208 eV per atom

a b c (Å): 2.7071 8.6442 10.5216
angles (deg): 90.00 90.00 90.00
Fractional positions:
Ru: 0.0000 0.0000 0.0000
Ru: 0.5000 0.5000 0.5000
Pt: 0.0000 0.2659 0.1285
Pt: 0.0000 0.2659 0.8715
Pt: 0.0000 0.7341 0.1285
Pt: 0.0000 0.7341 0.8715
Pt: 0.5000 0.2341 0.3715
Pt: 0.5000 0.2341 0.6285
Pt: 0.5000 0.7659 0.3715
Pt: 0.5000 0.7659 0.6285
Rh: 0.0000 0.0000 0.5000
Rh: 0.0000 0.5000 0.2885
Rh: 0.0000 0.5000 0.7115
Rh: 0.5000 0.0000 0.2115
Rh: 0.5000 0.0000 0.7885
Rh: 0.5000 0.5000 0.0000

2.
DFT (PBE) results for KZr2Te after structural relaxation.

Calculated values
formation energy without anion corrections = 0.36 eV per atom

a b c (Å): 4.4677 4.4677 10.6910
angles (deg): 90.00 90.00 90.00
Fractional positions:
K: 0.0000 0.0000 0.0000
K: 0.5000 0.5000 0.5000
Zr: 0.0000 0.5000 0.2500
Zr: 0.0000 0.5000 0.7500
Zr: 0.5000 0.0000 0.2500
Zr: 0.5000 0.0000 0.7500
Te: 0.0000 0.0000 0.5000
Te: 0.5000 0.5000 0.0000

3.
DFT (PBE) results for PrMg4 after structural relaxation.

Calculated values
DFT total energy = -1.187 eV/atom

a b c (Å): 5.9861 5.9861 5.9861
angles (deg): 90.00 90.00 90.00
Fractional positions:
Pr: 0.0000 0.0000 0.0000
Mg: 0.0000 0.0000 0.5000
Mg: 0.0000 0.5000 0.0000
Mg: 0.5000 0.0000 0.0000
Mg: 0.5000 0.5000 0.5000

4.
DFT (PBE) results for P2PbW after structural relaxation.

Calculated values
DFT total energy = -6.112 eV/atom

a b c (Å): 3.5095 4.7888 9.3083
angles (deg): 90.00 90.00 90.00
Fractional positions:
P: 0.0000 0.0000 0.0000
P: 0.0000 0.5000 0.2754
P: 0.5000 0.0000 0.2754
P: 0.5000 0.5000 0.0000
Pb: 0.0000 0.0000 0.5447
Pb: 0.5000 0.5000 0.5447
W: 0.0000 0.5000 0.8235
W: 0.5000 0.0000 0.8235

5.
DFT (PBE) results for NaTbTe2S6 after structural relaxation.

Calculated values
formation energy without anion corrections = -0.63 eV per atom

a b c (Å): 7.8743 7.8743 7.8743
angles (deg): 51.10 51.10 51.10
Fractional positions:
Na: 0.0000 0.0000 0.0000
Tb: 0.4921 0.4921 0.4921
Te: 0.2764 0.2764 0.2764
Te: 0.7865 0.7865 0.7865
S: 0.0805 0.4461 0.6792
S: 0.2098 0.9139 0.5664
S: 0.4461 0.6792 0.0805
S: 0.5664 0.2098 0.9139
S: 0.6792 0.0805 0.4461
S: 0.9139 0.5664 0.2098

6.
DFT (PBE) results for Pa4Co12GeB3 after structural relaxation.

Calculated values
DFT total energy = -7.652 eV/atom

a b c (Å): 7.0240 7.0240 7.0240
angles (deg): 109.47 109.47 109.47
Fractional positions:
Pa: 0.0000 0.0000 0.5000
Pa: 0.0000 0.5000 0.0000
Pa: 0.5000 0.0000 0.0000
Pa: 0.5000 0.5000 0.5000
Co: 0.0000 0.2746 0.2746
Co: 0.0000 0.7254 0.7254
Co: 0.2500 0.5000 0.7500
Co: 0.2500 0.7500 0.5000
Co: 0.2746 0.0000 0.2746
Co: 0.2746 0.2746 0.0000
Co: 0.5000 0.2500 0.7500
Co: 0.5000 0.7500 0.2500
Co: 0.7254 0.0000 0.7254
Co: 0.7254 0.7254 0.0000
Co: 0.7500 0.2500 0.5000
Co: 0.7500 0.5000 0.2500
Ge: 0.0000 0.0000 0.0000
B: 0.0000 0.5000 0.5000
B: 0.5000 0.0000 0.5000
B: 0.5000 0.5000 0.0000

7.
DFT (PBE) results for Ca3SF after structural relaxation.

Calculated values
formation energy without anion corrections = -1.12 eV per atom
relative energy among the computed polymorphs = 0.0000 eV per atom

a b c (Å): 4.9607 4.9607 4.9607
angles (deg): 90.00 90.00 90.00
Fractional positions:
Ca: 0.0000 0.0000 0.5000
Ca: 0.0000 0.5000 0.0000
Ca: 0.5000 0.0000 0.0000
S: 0.5000 0.5000 0.5000
F: 0.0000 0.0000 0.0000

8.
DFT (PBE) results for Tb6Os2Pb after structural relaxation.

Calculated values
DFT total energy = -6.306 eV/atom

a b c (Å): 8.5831 8.5831 8.5831
angles (deg): 112.58 110.94 104.99
Fractional positions:
Tb: 0.0275 0.2406 0.7869
Tb: 0.1850 0.2826 0.4675
Tb: 0.1850 0.7174 0.9024
Tb: 0.3311 0.0181 0.6870
Tb: 0.3311 0.6441 0.3130
Tb: 0.4537 0.2406 0.2131
Tb: 0.5463 0.7594 0.7869
Tb: 0.6689 0.3559 0.6870
Tb: 0.6689 0.9819 0.3130
Tb: 0.8150 0.2826 0.0976
Tb: 0.8150 0.7174 0.5325
Tb: 0.9725 0.7594 0.2131
Os: 0.1200 0.6200 0.5000
Os: 0.3347 0.0000 0.3347
Os: 0.6653 0.0000 0.6653
Os: 0.8800 0.3800 0.5000
Pb: 0.0000 0.0000 0.0000
Pb: 0.5000 0.5000 0.0000

9.
DFT (PBE) results for CeSmHo2In4 after structural relaxation.

Calculated values
DFT total energy = -4.279 eV/atom

a b c (Å): 9.3235 9.3235 9.3235
angles (deg): 33.45 33.45 33.45
Fractional positions:
Ce: 0.0000 0.0000 0.0000
Sm: 0.5000 0.5000 0.5000
Ho: 0.2499 0.2499 0.2499
Ho: 0.7501 0.7501 0.7501
In: 0.1255 0.1255 0.1255
In: 0.3755 0.3755 0.3755
In: 0.6245 0.6245 0.6245
In: 0.8745 0.8745 0.8745

10.
DFT (PBE) results for Pr2TmTe2N2 after structural relaxation.

Calculated values
formation energy without anion corrections = -1.27 eV per atom

a b c (Å): 4.4082 4.4082 16.5529
angles (deg): 90.00 90.00 90.00
Fractional positions:
Pr: 0.0000 0.0000 0.1024
Pr: 0.0000 0.0000 0.8976
Pr: 0.5000 0.5000 0.3976
Pr: 0.5000 0.5000 0.6024
Tm: 0.0000 0.0000 0.5000
Tm: 0.5000 0.5000 0.0000
Te: 0.0000 0.0000 0.3155
Te: 0.0000 0.0000 0.6845
Te: 0.5000 0.5000 0.1845
Te: 0.5000 0.5000 0.8155
N: 0.0000 0.5000 0.0000
N: 0.0000 0.5000 0.5000
N: 0.5000 0.0000 0.0000
N: 0.5000 0.0000 0.5000

no.,DOS(E_F) (states/eV/cell),calculated volume (Å³/atom)
1,20.43,15.39
2,10.74,26.68
3,6.15,42.90
4,4.85,19.55
5,0.00,27.28
6,25.85,13.34
7,5.24,24.41
8,17.52,26.91
9,9.02,27.41
10,6.39,22.98